# 1
A relaxed Pr2Se2O crystal. Source: Alexandria, functional PBE-GGA.

- ΔE to the lowest computed polymorph: 226 meV per atom

a = 3.715 Å, b = 6.952 Å, c = 8.885 Å
α = 90.00°, β = 90.00°, γ = 90.00°
Space group Immm (No. 71)
Inequivalent atoms, fractional coordinates:
Pr: 0.000 0.234 0.000 x4
Se: 0.000 0.000 0.309 x4
O: 0.000 0.500 0.500 x2

---

# 2
A relaxed MnNiRh2Br crystal. Source: Alexandria, functional PBE-GGA.

- DFT total energy: -5.033 eV per atom

a = 4.473 Å, b = 4.473 Å, c = 4.588 Å
α = 90.00°, β = 90.00°, γ = 90.00°
Space group P4/mmm (No. 123)
Inequivalent atoms, fractional coordinates:
Mn: 0.000 0.000 0.000 x1
Ni: 0.500 0.500 0.500 x1
Rh: 0.000 0.500 0.000 x2
Br: 0.000 0.000 0.500 x1

---

# 3
A relaxed CaLa2Pm3Se6 crystal. Source: Alexandria, functional PBE-GGA.

- DFT total energy: -5.835 eV per atom

a = 18.469 Å, b = 4.218 Å, c = 8.519 Å
α = 90.00°, β = 103.28°, γ = 90.00°
Space group C2/m (No. 12)
Inequivalent atoms, fractional coordinates:
Ca: 0.000 0.000 0.000 x2
La: 0.168 0.500 0.336 x4
Pm: 0.000 0.000 0.500 x2
Pm: 0.169 0.500 0.830 x4
Se: 0.002 0.500 0.754 x4
Se: 0.164 0.000 0.076 x4
Se: 0.164 0.000 0.587 x4

---

Density of states at the Fermi level for every record listed, in sequence, given in states/eV per cell: 1.2, 9.7, 10.5.